[1]
DFT (PBE-GGA) results for a geometry-optimized RbZnS3 structure.

The structure in POSCAR format:
```
RbZnS3
1.0
4.870 0.000 0.000
0.000 4.870 0.000
0.000 0.000 4.870
Rb Zn S
1 1 3
direct
0.000 0.000 0.000
0.500 0.500 0.500
0.000 0.500 0.500
0.500 0.000 0.500
0.500 0.500 0.000
```

## Properties
E_tot (eV/atom): -2.99
Symmetry: No. 221
Total magnetic moment (μB/atom): 0.00
Formation energy from raw total energies (meV/atom): -69
Offset from the most stable computed form (eV per atom): 0.000

=====

[2]
DFT (PBE-GGA) results for a geometry-optimized Rb2SrCl2 structure.

The structure in POSCAR format:
```
Rb2SrCl2
1.0
-2.990 2.990 7.405
2.990 -2.990 7.405
2.990 2.990 -7.405
Rb Sr Cl
2 1 2
direct
0.173 0.173 0.000
0.827 0.827 0.000
0.500 0.500 0.000
0.250 0.750 0.500
0.750 0.250 0.500
```

## Properties
E_tot (eV/atom): -2.64
Symmetry: No. 139
Total magnetic moment (μB/atom): 0.00
Formation energy from raw total energies (meV/atom): -1182
Offset from the most stable computed form (eV per atom): 0.144

=====

[3]
DFT (PBE-GGA) results for a geometry-optimized Zn2BiF structure.

The structure in POSCAR format:
```
Zn2BiF
1.0
-2.650 2.650 6.404
2.650 -2.650 6.404
2.650 2.650 -6.404
Zn Bi F
4 2 2
direct
0.043 0.625 0.918
0.375 0.293 0.418
0.707 0.125 0.082
0.875 0.957 0.582
0.250 0.750 0.500
0.500 0.500 0.000
0.000 0.000 0.000
0.750 0.250 0.500
```

## Properties
E_tot (eV/atom): -2.65
Symmetry: No. 122
Total magnetic moment (μB/atom): 0.00
Formation energy from raw total energies (meV/atom): -578
Offset from the most stable computed form (eV per atom): 0.000

=====

- Among the records above, which one has the highest E_tot?
  Rb2SrCl2

=====

- What is the formula in the second record?
  Rb2SrCl2

=====

- Which formula does entry 1 have?
  RbZnS3

=====

What did the second record say?
DFT (PBE-GGA) results for a geometry-optimized Rb2SrCl2 structure.

The structure in POSCAR format:
```
Rb2SrCl2
1.0
-2.990 2.990 7.405
2.990 -2.990 7.405
2.990 2.990 -7.405
Rb Sr Cl
2 1 2
direct
0.173 0.173 0.000
0.827 0.827 0.000
0.500 0.500 0.000
0.250 0.750 0.500
0.750 0.250 0.500
```

## Properties
E_tot (eV/atom): -2.64
Symmetry: No. 139
Total magnetic moment (μB/atom): 0.00
Formation energy from raw total energies (meV/atom): -1182
Offset from the most stable computed form (eV per atom): 0.144